This record from Alexandria describes NaTiPO5 after structural relaxation. The functional is PBE.

The structure belongs to space group P2_1/c (No. 14); the cell edges are 6.728, 8.582 and 7.205 Å and the angles 90.00°, 115.37° and 90.00°. The inequivalent atoms are Na at (0.249, 0.079, 0.270), Ti at (0.249, 0.743, 0.517), P at (0.250, 0.071, 0.751), O at (0.069, 0.182, 0.604), O at (0.160, 0.531, 0.376), O at (0.248, 0.683, 0.748), O at (0.337, 0.533, 0.123) and O at (0.436, 0.179, 0.899).

The value obtained for the uncorrected formation energy is -2.563 eV/atom. As for the total energy: -7.490 eV per atom.